(1)
Computed, not measured: a relaxed structure of Li2Dy2NpS6 at the PBE level of DFT.

The structure belongs to space group C2/m (No. 12); the cell edges are 6.850, 11.843 and 6.537 Å and the angles 90.00°, 109.84° and 90.00°. The asymmetric unit holds Li at (0.000, 0.167, 0.000), Dy at (0.000, 0.335, 0.500), Np at (0.000, 0.000, 0.500), S at (0.240, 0.167, 0.743) and S at (0.242, 0.000, 0.257).

The value obtained for the density of states at the Fermi level is 13.91 states/eV per cell. As for the raw total energy: -6.269 eV/atom. The calculation puts the density at 5.1 g/cm3. Its formation energy from raw total energies is -1758.6 kJ/mol of formula units.

(2)
Computed, not measured: a relaxed structure of AcBiAuSe at the PBE level of DFT.

The structure belongs to space group R-3m (No. 166, hexagonal axes); the cell edges are 4.9431, 4.9431 and 36.2658 Å and the angles 90.00°, 90.00° and 120.00°. The asymmetric unit holds Ac at (0.0000, 0.0000, 0.1083), Bi at (0.0000, 0.0000, 0.2955), Au at (0.0000, 0.0000, 0.3815) and Se at (0.0000, 0.0000, 0.1970).

The value obtained for the density of states at the Fermi level is 7.02 states/eV per cell. As for the raw total energy: -4.664 eV/atom. The calculation puts the density at 9.2 g/cm3. Its formation energy from raw total energies is -376.6 kJ/mol of formula units.

(3)
Computed, not measured: a relaxed structure of Ac2NdSm6 at the PBE level of DFT.

The structure belongs to space group C2/m (No. 12); the cell edges are 13.435, 7.755 and 6.387 Å and the angles 90.00°, 90.03° and 90.00°. The asymmetric unit holds Ac at (0.166, 0.000, 0.294), Nd at (0.000, 0.500, 0.500), Sm at (0.094, 0.220, 0.797) and Sm at (0.186, 0.500, 0.203).

The value obtained for the density of states at the Fermi level is 28.20 states/eV per cell. As for the raw total energy: -4.405 eV/atom. The calculation puts the density at 7.5 g/cm3. For the energy relative to the elements, the calculation gives 184 meV/atom. The value obtained for the offset from the most stable computed form is 124 meV/atom.

(4)
Computed, not measured: a relaxed structure of GaHgSb2 at the PBE level of DFT.

The structure belongs to space group I-42d (No. 122); the cell edges are 6.450, 6.450 and 12.436 Å and the angles 90.00°, 90.00° and 90.00°. The asymmetric unit holds Ga at (0.000, 0.000, 0.000), Hg at (0.000, 0.000, 0.500) and Sb at (0.231, 0.250, 0.125).

The value obtained for the density of states at the Fermi level is 8.24 states/eV per cell. As for the raw total energy: -2.855 eV/atom. The calculation puts the density at 6.6 g/cm3. The value obtained for the offset from the most stable computed form is 0 meV/atom. Its formation energy from raw total energies is 14.9 kJ/mol of formula units.

(5)
Computed, not measured: a relaxed structure of GaPtS2Cl at the PBE level of DFT.

The structure belongs to space group P4/mmm (No. 123); the cell edges are 4.761, 4.761 and 4.480 Å and the angles 90.00°, 90.00° and 90.00°. The asymmetric unit holds Ga at (0.000, 0.000, 0.000), Pt at (0.500, 0.500, 0.500), S at (0.000, 0.500, 0.000) and Cl at (0.000, 0.000, 0.500).

The value obtained for the density of states at the Fermi level is 4.50 states/eV per cell. As for the raw total energy: -3.211 eV/atom. The calculation puts the density at 6.0 g/cm3. The value obtained for the offset from the most stable computed form is 479 meV/atom. Its formation energy from raw total energies is 300.7 kJ/mol of formula units.

(6)
Computed, not measured: a relaxed structure of Mg2FePb at the PBE level of DFT.

The structure belongs to space group I4/mmm (No. 139); the cell edges are 4.194, 4.194 and 8.983 Å and the angles 90.00°, 90.00° and 90.00°. The asymmetric unit holds Mg at (0.000, 0.500, 0.250), Fe at (0.000, 0.000, 0.000) and Pb at (0.000, 0.000, 0.500).

The value obtained for the density of states at the Fermi level is 8.12 states/eV per cell. As for the raw total energy: -3.588 eV/atom. The calculation puts the density at 6.6 g/cm3. For the energy relative to the elements, the calculation gives 252 meV/atom.

(7)
Computed, not measured: a relaxed structure of CsRbBeF4 at the PBE level of DFT.

The structure belongs to space group P2_1/m (No. 11); the cell edges are 5.706, 6.039 and 8.222 Å and the angles 90.00°, 105.18° and 90.00°. The asymmetric unit holds Cs at (0.246, 0.250, 0.110), Rb at (0.191, 0.750, 0.486), Be at (0.366, 0.250, 0.717), F at (0.242, 0.038, 0.768), F at (0.318, 0.250, 0.517) and F at (0.356, 0.750, 0.195).

The value obtained for the density of states at the Fermi level is 0.00 states/eV per cell. As for the raw total energy: -4.916 eV/atom. The calculation puts the density at 3.7 g/cm3. Its formation energy from raw total energies is -2063.0 kJ/mol of formula units.

(8)
Computed, not measured: a relaxed structure of Ti2Nb2Al3 at the PBE level of DFT.

The structure belongs to space group P2_1/c (No. 14); the cell edges are 5.114, 7.321 and 6.680 Å and the angles 90.00°, 94.82° and 90.00°. The asymmetric unit holds Ti at (0.065, 0.188, 0.497), Nb at (0.364, 0.657, 0.336), Al at (0.151, 0.514, 0.673) and Al at (0.500, 0.000, 0.500).

The value obtained for the density of states at the Fermi level is 13.44 states/eV per cell. As for the raw total energy: -6.816 eV/atom. The calculation puts the density at 4.8 g/cm3. For the energy relative to the elements, the calculation gives -79 meV/atom. The value obtained for the offset from the most stable computed form is 160 meV/atom.

(9)
Computed, not measured: a relaxed structure of BeAlTe2 at the PBE level of DFT.

The structure belongs to space group F-43m (No. 216); the cell edges are 7.134, 7.134 and 7.134 Å and the angles 90.00°, 90.00° and 90.00°. The asymmetric unit holds Be at (0.000, 0.000, 0.000), Al at (0.250, 0.250, 0.750), Te at (0.000, 0.000, 0.500) and Te at (0.250, 0.250, 0.250).

The value obtained for the density of states at the Fermi level is 11.20 states/eV per cell. As for the raw total energy: -2.734 eV/atom. The calculation puts the density at 5.3 g/cm3. The value obtained for the offset from the most stable computed form is 795 meV/atom. Its formation energy from raw total energies is 271.9 kJ/mol of formula units.

(10)
Computed, not measured: a relaxed structure of SmCdSnPt3 at the PBE level of DFT.

The structure belongs to space group Cmcm (No. 63); the cell edges are 6.753, 12.702 and 6.024 Å and the angles 90.00°, 90.00° and 90.00°. The asymmetric unit holds Sm at (0.000, 0.172, 0.250), Cd at (0.000, 0.413, 0.250), Sn at (0.000, 0.143, 0.750), Pt at (0.000, 0.349, 0.750) and Pt at (0.211, 0.000, 0.000).

The value obtained for the density of states at the Fermi level is 12.45 states/eV per cell. As for the raw total energy: -5.064 eV/atom. The calculation puts the density at 12.4 g/cm3. For the energy relative to the elements, the calculation gives -438 meV/atom.

(11)
Computed, not measured: a relaxed structure of OsW2 at the PBE level of DFT.

The structure belongs to space group Cmcm (No. 63); the cell edges are 3.936, 12.197 and 3.916 Å and the angles 90.00°, 90.00° and 90.00°. The asymmetric unit holds Os at (0.000, 0.082, 0.250), W at (0.000, 0.254, 0.750) and W at (0.000, 0.424, 0.250).

The value obtained for the density of states at the Fermi level is 8.04 states/eV per cell. As for the raw total energy: -12.213 eV/atom. The calculation puts the density at 19.7 g/cm3. For the energy relative to the elements, the calculation gives 165 meV/atom. The value obtained for the offset from the most stable computed form is 164 meV/atom.

- Which value of raw total energy does entry 5 give?
  -3.211 eV/atom